Computed, not measured: a relaxed structure of YCr4Ru at the PBE-GGA level of DFT.

Calculated values
D(E_F): 8.734 states/eV per cell
Uncorrected energy: -8.761 eV/atom
Calculated formation energy: 0.28 eV per atom

```
6
Lattice="0.000 3.513 3.513 3.513 0.000 3.513 3.513 3.513 0.000" Properties=species:S:1:pos:R:3 pbc="T T T"
Ru 5.269 5.269 5.269
Cr 4.392 4.392 2.634
Cr 4.392 2.634 4.392
Cr 2.634 4.392 4.392
Y 0.000 0.000 0.000
Cr 2.634 2.634 2.634
```